This record from Alexandria via LeMat-Bulk describes CaLaGaPt after structural relaxation. The functional is PBE.

Cell lengths 4.2664, 4.1606, 11.6178 Å; angles 90.00, 90.00, 90.00 degrees
Sites, in units of the cell vectors:
Ca 0.0000 0.0000 0.0000
Ca 0.0000 0.5000 0.5000
La 0.5000 0.0000 0.7139
La 0.5000 0.5000 0.2139
Ga 0.5000 0.0000 0.4257
Ga 0.5000 0.5000 0.9257
Pt 0.0000 0.0000 0.2827
Pt 0.0000 0.5000 0.7827

**E**: -38.46 eV per cell